Record 1
First-principles (PBE-GGA) data for a geometry-optimized RbU4TlN8 structure, as listed in the Alexandria database.

Unit cell a=7.008 b=7.008 c=8.237 alpha=64.82 beta=64.82 gamma=60.00
Each line ends with the local moment (μB).
Sites, in units of the cell vectors:
Rb: 0.355 0.355 0.934  0.00
U: 0.525 0.525 0.426  0.70
U: 0.008 0.509 0.474  0.53
U: 0.509 0.008 0.474  0.53
U: 0.008 0.008 0.474  0.53
Tl: 0.980 0.980 0.059  0.02
N: 0.314 0.790 0.581  -0.04
N: 0.790 0.314 0.581  -0.04
N: 0.314 0.314 0.581  -0.04
N: 0.217 0.217 0.348  -0.03
N: 0.735 0.208 0.323  -0.04
N: 0.208 0.735 0.323  -0.04
N: 0.735 0.735 0.323  -0.04
N: 0.801 0.801 0.596  -0.03

* total magnetic moment: 2.2 Bohr magnetons per cell
* total DFT energy (no corrections): -129.13 eV for the cell shown
* theoretical density: 7.367 g/cm³
* raw formation energy: -1003 meV/atom



Record 2
First-principles (PBE-GGA) data for a geometry-optimized ZrCdSi2 structure, as listed in the Alexandria database.

Unit cell a=2.966 b=2.966 c=8.655 alpha=90.00 beta=90.00 gamma=96.96
Sites, in units of the cell vectors:
Cd: 0.500 0.500 0.750
Si: 0.000 0.000 0.018
Si: 0.000 0.000 0.482
Zr: 0.500 0.500 0.250

* total magnetic moment: 0.0 Bohr magnetons per cell
* total DFT energy (no corrections): -20.10 eV for the cell shown
* theoretical density: 5.709 g/cm³
* raw formation energy: 52 meV/atom



Record 3
First-principles (PBE-GGA) data for a geometry-optimized ZnAsRh2 structure, as listed in the Alexandria database.

Unit cell a=5.870 b=5.870 c=5.870 alpha=150.17 beta=142.10 gamma=48.96
Sites, in units of the cell vectors:
As: 0.217 0.717 0.500
Rh: 0.040 0.040 0.000
Rh: 0.783 0.283 0.500
Zn: 0.460 0.460 0.000

* ΔE_f: -0.302 eV/atom
* total magnetic moment: 0.0 Bohr magnetons per cell
* total DFT energy (no corrections): -21.84 eV for the cell shown
* theoretical density: 9.340 g/cm³



Record 4
First-principles (PBE-GGA) data for a geometry-optimized PmHo3Sc3 structure, as listed in the Alexandria database.

Unit cell a=8.468 b=8.468 c=8.468 alpha=58.84 beta=58.84 gamma=58.84
Sites, in units of the cell vectors:
Pm: 0.349 0.349 0.349
Pm: 0.651 0.651 0.651
Ho: 0.724 0.569 0.066
Ho: 0.066 0.724 0.569
Ho: 0.569 0.066 0.724
Ho: 0.431 0.934 0.276
Ho: 0.934 0.276 0.431
Ho: 0.276 0.431 0.934
Sc: 0.723 0.168 0.937
Sc: 0.168 0.937 0.723
Sc: 0.937 0.723 0.168
Sc: 0.063 0.277 0.832
Sc: 0.832 0.063 0.277
Sc: 0.277 0.832 0.063

* ΔE_f: 0.187 eV/atom
* total magnetic moment: 0.0 Bohr magnetons per cell
* total DFT energy (no corrections): -72.34 eV for the cell shown
* theoretical density: 6.156 g/cm³